[1]
First-principles (GGA-PBE) data for an optimized crystal structure of Sb2TePt2, as listed in Alexandria via LeMat-Bulk.

Values from the calculation:
Raw formation energy ... -0.04 eV/atom
Magnetization ... 0.00 μB/f.u.
SG ... I4/mmm (139)

The structure in extended XYZ format:
```
5
Lattice="4.542 0.000 0.000 0.000 4.542 0.000 2.271 2.271 5.725" Properties=species:S:1:pos:R:3 pbc="T T T"
Sb 4.542 2.271 2.863
Sb 2.271 4.542 2.863
Te 0.000 0.000 0.000
Pt 4.542 4.542 4.383
Pt 2.271 2.271 1.342
```

=====

[2]
First-principles (GGA-PBE) data for an optimized crystal structure of Sb2TePt2, as listed in Alexandria via LeMat-Bulk.

Values from the calculation:
Raw formation energy ... -0.18 eV/atom
Magnetization ... 0.00 μB/f.u.
SG ... I4/mmm (139)

The structure in extended XYZ format:
```
5
Lattice="3.916 0.000 0.000 0.000 3.916 0.000 1.958 1.958 7.933" Properties=species:S:1:pos:R:3 pbc="T T T"
Te 0.000 0.000 0.000
Pt 3.916 1.958 3.967
Pt 1.958 3.916 3.967
Sb 1.958 1.958 2.056
Sb 3.916 3.916 5.878
```

=====

[3]
First-principles (GGA-PBE) data for an optimized crystal structure of SbTePt, as listed in Alexandria via LeMat-Bulk.

Values from the calculation:
Raw formation energy ... -0.11 eV/atom
Magnetization ... 0.00 μB/f.u.
SG ... C2/m (12)

The structure in extended XYZ format:
```
6
Lattice="4.196 0.000 0.000 0.000 5.801 -0.621 -2.098 -4.083 7.544" Properties=species:S:1:pos:R:3 pbc="T T T"
Sb 2.098 1.634 5.275
Sb 0.000 0.084 1.647
Te 2.098 3.463 1.031
Te 0.000 -1.745 5.892
Pt 2.098 1.425 2.594
Pt 0.000 0.293 4.329
```

=====

[4]
First-principles (GGA-PBE) data for an optimized crystal structure of Sb2TePt, as listed in Alexandria via LeMat-Bulk.

Values from the calculation:
Raw formation energy ... -0.05 eV/atom
Magnetization ... 0.00 μB/f.u.
SG ... Imm2 (44)

The structure in extended XYZ format:
```
4
Lattice="6.622 0.003 -0.006 3.855 5.384 0.006 -4.954 -3.247 2.961" Properties=species:S:1:pos:R:3 pbc="T T T"
Te 4.426 2.276 0.000
Sb 3.427 -0.289 1.477
Sb 0.838 0.431 0.000
Pt 2.071 2.416 1.484
```

=====

[5]
First-principles (GGA-PBE) data for an optimized crystal structure of SbTePt, as listed in Alexandria via LeMat-Bulk.

Values from the calculation:
Raw formation energy ... -0.41 eV/atom
Magnetization ... 0.00 μB/f.u.
SG ... P2_13 (198)

The structure in extended XYZ format:
```
12
Lattice="-0.481 4.695 4.669 -6.529 -1.117 0.452 1.105 -4.559 4.698" Properties=species:S:1:pos:R:3 pbc="T T T"
Pt -2.674 -2.832 2.622
Pt -3.531 1.734 2.563
Pt 0.269 0.111 4.686
Pt -5.873 -0.976 9.767
Te -3.701 -0.615 6.155
Te -2.715 3.104 4.842
Te -5.349 -2.081 2.740
Te -0.043 -2.370 5.902
Sb -0.558 1.093 7.080
Sb -5.857 1.390 3.923
Sb -2.199 -0.366 3.658
Sb -3.194 -4.080 4.978
```

=====

[6]
First-principles (GGA-PBE) data for an optimized crystal structure of Sb4TePt, as listed in Alexandria via LeMat-Bulk.

Values from the calculation:
Raw formation energy ... 0.65 eV/atom
Magnetization ... 0.00 μB/f.u.
SG ... F-43m (216)

The structure in extended XYZ format:
```
6
Lattice="0.000 4.337 4.337 4.337 0.000 4.337 4.337 4.337 0.000" Properties=species:S:1:pos:R:3 pbc="T T T"
Te 6.505 6.505 6.505
Pt 0.000 0.000 0.000
Sb 3.243 5.431 5.431
Sb 3.243 3.243 3.243
Sb 5.431 3.243 5.431
Sb 5.431 5.431 3.243
```

=====

[7]
First-principles (GGA-PBE) data for an optimized crystal structure of SbTePt, as listed in Alexandria via LeMat-Bulk.

Values from the calculation:
Raw formation energy ... 0.42 eV/atom
Magnetization ... 0.00 μB/f.u.
SG ... F-43m (216)

The structure in extended XYZ format:
```
3
Lattice="4.835 0.000 0.000 2.417 4.187 0.000 2.417 1.396 3.948" Properties=species:S:1:pos:R:3 pbc="T T T"
Sb 4.835 2.791 1.974
Te 2.417 1.396 0.987
Pt 0.000 0.000 0.000
```

=====

[8]
First-principles (GGA-PBE) data for an optimized crystal structure of Sb2TePt, as listed in Alexandria via LeMat-Bulk.

Values from the calculation:
Raw formation energy ... 0.25 eV/atom
Magnetization ... 0.00 μB/f.u.
SG ... Cmmm (65)

The structure in extended XYZ format:
```
4
Lattice="5.113 0.028 0.000 -1.310 4.942 0.000 0.000 0.000 3.818" Properties=species:S:1:pos:R:3 pbc="T T T"
Sb 0.000 0.000 0.000
Sb 1.901 2.485 0.000
Te 2.556 0.014 1.909
Pt -0.655 2.471 1.909
```

=====

[9]
First-principles (GGA-PBE) data for an optimized crystal structure of Sb2TePt, as listed in Alexandria via LeMat-Bulk.

Values from the calculation:
Raw formation energy ... 0.31 eV/atom
Magnetization ... 0.00 μB/f.u.
SG ... P4/mmm (123)

The structure in extended XYZ format:
```
4
Lattice="5.087 0.000 0.000 0.000 4.333 0.000 0.000 0.000 4.333" Properties=species:S:1:pos:R:3 pbc="T T T"
Sb 0.000 2.166 2.166
Sb 0.000 0.000 0.000
Te 2.544 2.166 0.000
Pt 2.544 0.000 2.166
```

=====

[10]
First-principles (GGA-PBE) data for an optimized crystal structure of Sb2TePt, as listed in Alexandria via LeMat-Bulk.

Values from the calculation:
Raw formation energy ... -0.22 eV/atom
Magnetization ... 0.00 μB/f.u.
SG ... Pnna (52)

The structure in extended XYZ format:
```
16
Lattice="5.211 0.000 0.000 0.000 6.868 -0.003 0.000 0.007 11.815" Properties=species:S:1:pos:R:3 pbc="T T T"
Pt 5.211 5.154 4.794
Pt 0.000 1.721 7.019
Pt 2.605 5.151 1.110
Pt 2.606 1.723 10.702
Sb 1.514 3.960 6.743
Sb 4.120 2.912 0.836
Sb 4.120 6.352 10.975
Sb 3.697 6.349 6.742
Sb 1.091 3.962 10.976
Sb 1.091 0.523 0.837
Sb 1.514 0.525 5.070
Sb 3.697 2.914 5.069
Te 1.302 3.652 2.952
Te 3.908 6.653 2.951
Te 1.303 0.221 8.861
Te 3.909 3.223 8.860
```

=====

[11]
First-principles (GGA-PBE) data for an optimized crystal structure of Sb2TePt, as listed in Alexandria via LeMat-Bulk.

Values from the calculation:
Raw formation energy ... 0.29 eV/atom
Magnetization ... 0.00 μB/f.u.
SG ... I-4m2 (119)

The structure in extended XYZ format:
```
4
Lattice="5.073 -0.807 0.000 0.929 5.053 0.000 -3.001 -2.123 3.589" Properties=species:S:1:pos:R:3 pbc="T T T"
Sb 0.465 2.526 1.794
Sb 0.000 0.000 0.000
Te 3.001 2.123 0.000
Pt 2.537 -0.404 1.794
```

=====

[12]
First-principles (GGA-PBE) data for an optimized crystal structure of Sb2TePt, as listed in Alexandria via LeMat-Bulk.

Values from the calculation:
Raw formation energy ... -0.09 eV/atom
Magnetization ... 0.00 μB/f.u.
SG ... P2/m (10)

The structure in extended XYZ format:
```
4
Lattice="-1.260 -0.070 -3.853 -0.258 -3.035 0.140 -8.298 -1.937 2.748" Properties=species:S:1:pos:R:3 pbc="T T T"
Sb -4.747 -4.010 1.625
Sb -8.087 -3.448 2.706
Te -2.769 -1.278 -1.205
Pt -7.047 -3.764 0.239
```

=====

[13]
First-principles (GGA-PBE) data for an optimized crystal structure of SbTePt, as listed in Alexandria via LeMat-Bulk.

Values from the calculation:
Raw formation energy ... -0.40 eV/atom
Magnetization ... 0.00 μB/f.u.
SG ... Pmn2_1 (31)

The structure in extended XYZ format:
```
6
Lattice="4.214 0.000 0.000 0.000 5.520 0.000 0.000 0.000 6.582" Properties=species:S:1:pos:R:3 pbc="T T T"
Pt 0.000 1.321 0.021
Pt 2.107 4.199 3.312
Sb 2.107 5.362 5.742
Sb 0.000 0.157 2.451
Te 2.107 2.954 0.869
Te 0.000 2.566 4.160
```

=====

[14]
First-principles (GGA-PBE) data for an optimized crystal structure of Sb2TePt, as listed in Alexandria via LeMat-Bulk.

Values from the calculation:
Raw formation energy ... 0.14 eV/atom
Magnetization ... 0.00 μB/f.u.
SG ... P4mm (99)

The structure in extended XYZ format:
```
4
Lattice="-3.230 -0.313 -1.340 0.708 -3.309 -0.934 -2.635 -2.523 6.942" Properties=species:S:1:pos:R:3 pbc="T T T"
Sb -1.895 -2.418 0.533
Sb -2.504 -2.397 6.596
Te -1.415 -1.355 3.728
Pt -3.296 -3.759 4.224
```

=====

[15]
First-principles (GGA-PBE) data for an optimized crystal structure of SbTePt3, as listed in Alexandria via LeMat-Bulk.

Values from the calculation:
Raw formation energy ... 0.68 eV/atom
Magnetization ... 0.00 μB/f.u.
SG ... Pm-3m (221)

The structure in extended XYZ format:
```
5
Lattice="4.978 0.000 0.000 0.000 4.978 0.000 0.000 0.000 4.978" Properties=species:S:1:pos:R:3 pbc="T T T"
Pt 0.000 2.489 0.000
Pt 2.489 0.000 0.000
Pt 0.000 0.000 2.489
Te 0.000 0.000 0.000
Sb 2.489 2.489 2.489
```

=====

[16]
First-principles (GGA-PBE) data for an optimized crystal structure of Sb2TePt, as listed in Alexandria via LeMat-Bulk.

Values from the calculation:
Raw formation energy ... -0.06 eV/atom
Magnetization ... 0.00 μB/f.u.
SG ... P4/mmm (123)

The structure in extended XYZ format:
```
4
Lattice="3.229 0.000 0.000 0.000 3.229 0.000 0.000 0.000 9.968" Properties=species:S:1:pos:R:3 pbc="T T T"
Pt 1.615 1.615 7.476
Te 1.615 1.615 2.492
Sb 0.000 0.000 9.251
Sb 0.000 0.000 5.701
```

=====

[17]
First-principles (GGA-PBE) data for an optimized crystal structure of Sb3TePt, as listed in Alexandria via LeMat-Bulk.

Values from the calculation:
Raw formation energy ... -0.20 eV/atom
Magnetization ... 0.00 μB/f.u.
SG ... P2_1 (4)

The structure in extended XYZ format:
```
10
Lattice="5.811 0.000 0.000 0.000 6.251 1.175 0.000 1.141 7.787" Properties=species:S:1:pos:R:3 pbc="T T T"
Pt 3.879 4.432 2.376
Pt 0.973 5.053 6.234
Sb 5.490 3.449 4.387
Sb 5.441 2.948 0.638
Sb 1.917 2.666 2.588
Sb 4.823 6.818 6.022
Sb 2.584 6.035 4.224
Sb 2.536 6.536 7.973
Te 5.810 6.273 2.068
Te 2.904 3.211 6.543
```

=====

[18]
First-principles (GGA-PBE) data for an optimized crystal structure of Sb2TePt, as listed in Alexandria via LeMat-Bulk.

Values from the calculation:
Raw formation energy ... -0.24 eV/atom
Magnetization ... 0.00 μB/f.u.
SG ... R-3m (166)

The structure in extended XYZ format:
```
4
Lattice="-3.341 -2.754 -5.985 -4.447 -5.175 -2.830 -6.354 -1.564 -3.427" Properties=species:S:1:pos:R:3 pbc="T T T"
Te -3.535 -2.373 -3.061
Sb -6.818 -4.576 -5.902
Sb -0.253 -0.170 -0.219
Pt -10.606 -7.119 -9.182
```

=====

[19]
First-principles (GGA-PBE) data for an optimized crystal structure of SbTePt, as listed in Alexandria via LeMat-Bulk.

Values from the calculation:
Raw formation energy ... -0.40 eV/atom
Magnetization ... 0.00 μB/f.u.
SG ... P2_1/c (14)

The structure in extended XYZ format:
```
12
Lattice="6.619 0.000 0.000 0.000 6.919 0.089 0.000 -1.832 6.671" Properties=species:S:1:pos:R:3 pbc="T T T"
Te 4.177 2.219 0.987
Te 5.752 5.679 1.032
Te 2.442 2.868 5.774
Te 0.867 -0.592 5.729
Pt 6.575 3.818 5.027
Pt 3.265 4.729 1.778
Pt 3.354 0.358 4.983
Pt 0.044 1.270 1.733
Sb 0.851 3.754 2.474
Sb 4.160 4.793 4.331
Sb 5.768 1.333 4.287
Sb 2.459 0.295 2.429
```

=====

[20]
First-principles (GGA-PBE) data for an optimized crystal structure of SbTe3Pt2, as listed in Alexandria via LeMat-Bulk.

Values from the calculation:
Raw formation energy ... -0.39 eV/atom
Magnetization ... 0.00 μB/f.u.
SG ... P-3m1 (164)

The structure in extended XYZ format:
```
12
Lattice="-2.716 -0.829 4.383 6.369 -4.047 3.181 -0.680 8.085 1.108" Properties=species:S:1:pos:R:3 pbc="T T T"
Pt 3.185 -2.023 1.590
Pt 2.844 2.019 2.144
Pt -0.340 4.042 0.554
Pt 0.000 0.000 0.000
Te -1.503 5.400 4.726
Te -1.170 1.448 4.185
Te 4.475 -2.191 3.945
Te 1.362 -0.213 2.390
Te 4.143 1.761 4.487
Te 1.611 3.422 6.281
Sb 2.039 -0.607 5.685
Sb 0.933 3.816 2.987
```